1.
VASP calculation (PBE) on crystalline TlRe2Mo at its relaxed geometry.

Summary:
* space-group type: No. 10
* volume: 17.4 Å³/atom
* energy of formation: 0.63 eV per atom

a b c (Å): 4.0676 2.9153 6.5639
angles (deg): 63.59 90.00 90.00
Closest atoms and distances in Å follow each position.
Fractional coordinates of all 4 atoms:
1 Re 0.0000 0.0428 0.9544  1 Re 2.40
2 Re 0.0000 0.4572 0.5456  1 Re 2.40
3 Mo 0.5000 0.7500 0.7500  8 Re 2.77-2.78, 2 Mo 2.92, 2 Tl 2.94
4 Tl 0.5000 0.2500 0.2500  2 Tl 2.92, 2 Mo 2.94, 8 Re 3.04-3.05

2.
VASP calculation (PBE) on crystalline AcLaPb2 at its relaxed geometry.

Summary:
* space-group type: No. 123
* volume: 33.6 Å³/atom
* energy of formation: -0.53 eV per atom

a b c (Å): 4.6914 5.3493 5.3493
angles (deg): 90.00 90.00 90.00
Closest atoms and distances in Å follow each position.
Fractional coordinates of all 4 atoms:
1 La 0.5000 0.0000 0.0000  8 Pb 3.56, 4 Ac 3.78
2 Pb 0.0000 0.5000 0.0000  4 Ac 3.56, 4 La 3.56, 4 Pb 3.78
3 Pb 0.0000 0.0000 0.5000  4 Ac 3.56, 4 La 3.56, 4 Pb 3.78
4 Ac 0.5000 0.5000 0.5000  8 Pb 3.56, 4 La 3.78

3.
VASP calculation (PBE) on crystalline PmBiRh at its relaxed geometry.

Summary:
* space-group type: No. 187
* volume: 24.0 Å³/atom
* energy of formation: -0.65 eV per atom

a b c (Å): 3.6918 4.7496 4.7496
angles (deg): 120.00 90.00 90.00
Closest atoms and distances in Å follow each position.
Fractional coordinates of all 3 atoms:
1 Bi 0.1666 0.0000 0.0000  3 Rh 2.74
2 Pm 0.6666 0.6667 0.3333  6 Rh 3.31, 6 Bi 3.31, 2 Pm 3.69
3 Rh 0.1668 0.3333 0.6667  3 Bi 2.74

4.
VASP calculation (PBE) on crystalline Y2TlOs at its relaxed geometry.

Summary:
* space-group type: No. 122
* volume: 25.9 Å³/atom
* energy of formation: 0.22 eV per atom

a b c (Å): 8.2424 8.2424 6.5756
angles (deg): 51.19 51.19 90.00
Closest atoms and distances in Å follow each position.
Fractional coordinates of all 8 atoms:
1 Y 0.5647 0.1250 0.2500  2 Os 2.70
2 Y 0.3750 0.4353 0.7500  2 Os 2.70
3 Y 0.1853 0.6250 0.2500  2 Os 2.70
4 Y 0.8750 0.8147 0.7500  2 Os 2.70
5 Tl 0.0000 0.0000 0.0000  2 Os 3.04, 4 Y 3.37
6 Tl 0.7500 0.2500 0.5000  2 Os 3.04, 4 Y 3.37
7 Os 0.2500 0.7500 0.5000  4 Y 2.70
8 Os 0.5000 0.5000 0.0000  4 Y 2.70